This record from the Alexandria database describes a relaxed PaSiNi crystal. The functional is PBE-GGA.

The density of states at the Fermi level is 1.225 states/eV/atom. The raw formation energy is -430 meV/atom. The uncorrected energy is -87.96 eV per cell. The value obtained for the volume is 211 Å³/cell.

The space group is Pnma (No. 62) and the conventional cell measures 5.387, 3.963 and 9.866 Å, with angles of 90.00, 90.00 and 90.00 degrees. The asymmetric unit holds Pa at (0.124, 0.250, 0.148), Si at (0.138, 0.250, 0.465) and Ni at (0.133, 0.750, 0.343).